VASP calculation (GGA-PBE) on a relaxed structure of HoInCuPd.

```
HoInCuPd
1.0
-1.159 -4.485 -1.080
-1.131 -3.063 3.460
-4.494 -1.479 0.492
Cu Ho Pd In
1 1 1 1
Direct
0.250 0.250 0.250 Cu
0.000 0.000 0.000 Ho
0.750 0.750 0.750 Pd
0.500 0.500 0.500 In
```

Crystal system ... cubic
Magnetization ... 0.000 μB/atom
Space-group type ... No. 216
ΔH_f (0 K) ... -551 meV/atom

---

VASP calculation (GGA-PBE) on a relaxed structure of KHf2Mn.

```
KHf2Mn
1.0
-0.341 2.484 4.136
1.990 4.394 0.353
-2.822 3.920 0.241
K Mn Hf
1 1 2
Direct
0.000 0.000 0.000 K
0.500 0.500 0.500 Mn
0.250 0.250 0.250 Hf
0.750 0.750 0.750 Hf
```

Crystal system ... cubic
Magnetization ... 0.000 μB/atom
Space-group type ... No. 225
ΔH_f (0 K) ... 1131 meV/atom
Offset from the most stable computed form ... 0 kJ/mol of formula units

---

- Which value of magnetization does entry 1 give?
  0.000 μB/atom

---

What did the second record say?
VASP calculation (GGA-PBE) on a relaxed structure of KHf2Mn.

```
KHf2Mn
1.0
-0.341 2.484 4.136
1.990 4.394 0.353
-2.822 3.920 0.241
K Mn Hf
1 1 2
Direct
0.000 0.000 0.000 K
0.500 0.500 0.500 Mn
0.250 0.250 0.250 Hf
0.750 0.750 0.750 Hf
```

Crystal system ... cubic
Magnetization ... 0.000 μB/atom
Space-group type ... No. 225
ΔH_f (0 K) ... 1131 meV/atom
Offset from the most stable computed form ... 0 kJ/mol of formula units

---

Repeat the first record exactly.
VASP calculation (GGA-PBE) on a relaxed structure of HoInCuPd.

```
HoInCuPd
1.0
-1.159 -4.485 -1.080
-1.131 -3.063 3.460
-4.494 -1.479 0.492
Cu Ho Pd In
1 1 1 1
Direct
0.250 0.250 0.250 Cu
0.000 0.000 0.000 Ho
0.750 0.750 0.750 Pd
0.500 0.500 0.500 In
```

Crystal system ... cubic
Magnetization ... 0.000 μB/atom
Space-group type ... No. 216
ΔH_f (0 K) ... -551 meV/atom

---

- What is the formula in the first record?
  HoInCuPd